No. 1
## CaVW2 (PBE)

Data for an optimized crystal structure of CaVW2.

Cell: 4.5951 4.5951 4.5951 Å, 60.00 60.00 60.00°
Fractional positions:
Ca1 0.0000 0.0000 0.0000
V1 0.5000 0.5000 0.5000
W1 0.2500 0.2500 0.2500
W2 0.7500 0.7500 0.7500

Results
Formation energy   0.9946 eV per atom
SG   Fm-3m (225)
Total moment   0.0 μB per cell
Energy above the lowest structure with this stoichiometry   0 meV/atom

=====

No. 2
## CaZrV2W (PBE)

Data for an optimized crystal structure of CaZrV2W.

Cell: 4.5850 4.5850 4.9966 Å, 90.00 90.00 90.00°
Fractional positions:
Ca1 0.0000 0.0000 0.0000
Zr1 0.0000 0.0000 0.5000
V1 0.0000 0.5000 0.5000
V2 0.5000 0.0000 0.5000
W1 0.5000 0.5000 0.0000

Results
Formation energy   2.0924 eV per atom
SG   P4/mmm (123)
Total moment   0.0 μB per cell

=====

No. 3
## Ca2YV (PBE)

Data for an optimized crystal structure of Ca2YV.

Cell: 7.4983 7.4983 7.4983 Å, 124.11 124.11 83.02°
Fractional positions:
Ca1 0.0000 0.0000 0.0000
Ca2 0.0000 0.0000 0.5000
Ca3 0.0000 0.5000 0.0000
Ca4 0.5000 0.0000 0.5000
Y1 0.3750 0.6250 0.7500
Y2 0.6250 0.3750 0.2500
V1 0.1250 0.8750 0.2500
V2 0.8750 0.1250 0.7500

Results
Formation energy   1.8562 eV per atom
SG   I4_1/amd (141)
Total moment   0.0 μB per cell
Energy above the lowest structure with this stoichiometry   1291 meV/atom

=====

No. 4
## Ca2YV (PBE)

Data for an optimized crystal structure of Ca2YV.

Cell: 5.5619 5.5619 5.5619 Å, 60.00 60.00 60.00°
Fractional positions:
Ca1 0.2500 0.2500 0.2500
Ca2 0.7500 0.7500 0.7500
Y1 0.0000 0.0000 0.0000
V1 0.5000 0.5000 0.5000

Results
Formation energy   0.5649 eV per atom
SG   Fm-3m (225)
Total moment   4.0 μB per cell
Energy above the lowest structure with this stoichiometry   0 meV/atom

=====

No. 5
## CaY3V (PBE)

Data for an optimized crystal structure of CaY3V.

Cell: 5.5080 5.5080 5.5080 Å, 90.00 90.00 90.00°
Fractional positions:
Ca1 0.0000 0.0000 0.0000
Y1 0.0000 0.5000 0.5000
Y2 0.5000 0.0000 0.5000
Y3 0.5000 0.5000 0.0000
V1 0.5000 0.5000 0.5000

Results
Formation energy   0.3493 eV per atom
SG   Pm-3m (221)
Total moment   2.1 μB per cell
Energy above the lowest structure with this stoichiometry   0 meV/atom

=====

No. 6
## CaY3V (PBE)

Data for an optimized crystal structure of CaY3V.

Cell: 5.4871 5.4871 5.4871 Å, 90.00 90.00 90.00°
Fractional positions:
Ca1 0.0000 0.0000 0.0000
Y1 0.0000 0.0000 0.5000
Y2 0.0000 0.5000 0.0000
Y3 0.5000 0.0000 0.0000
V1 0.5000 0.5000 0.5000

Results
Formation energy   1.4045 eV per atom
SG   Pm-3m (221)
Total moment   3.3 μB per cell
Energy above the lowest structure with this stoichiometry   1055 meV/atom